Record 1
## EuMgInHg (PBE-GGA)

Data for a relaxed EuMgInHg crystal.

Unit cell a=7.4299 b=7.4299 c=7.4299 alpha=90.00 beta=90.00 gamma=90.00
With the nearest neighbours (Å) after each atom.
Space group F-43m (No. 216)
Unique sites:
Eu 0.0000 0.0000 0.0000 x4  4 Hg 3.22, 4 In 3.22
Mg 0.0000 0.0000 0.5000 x4  4 Hg 3.22, 4 In 3.22
In 0.2500 0.2500 0.7500 x4  4 Mg 3.22, 4 Eu 3.22
Hg 0.2500 0.2500 0.2500 x4  4 Mg 3.22, 4 Eu 3.22

Its density of states at the Fermi level is 31.7 states/eV per cell. The value obtained for the magnetization is 7.0 μB per formula unit. The value obtained for the calculated formation energy is -1.563 eV/f.u.

***

Record 2
## GaCu3Pt3 (PBE-GGA)

Data for a relaxed GaCu3Pt3 crystal.

Unit cell a=8.3960 b=8.5309 c=5.8078 alpha=90.00 beta=90.00 gamma=90.00
With the nearest neighbours (Å) after each atom.
Space group Cmmm (No. 65)
Unique sites:
Ga 0.0000 0.2431 0.0000 x4  6 Pt 2.56-2.65, 2 Cu 2.76
Cu 0.0000 0.2155 0.5000 x4  6 Pt 2.57-2.81, 2 Cu 2.62
Cu 0.2162 0.0000 0.0000 x4  6 Pt 2.60-2.81, 2 Ga 2.76, 2 Cu 2.90
Cu 0.2218 0.0000 0.5000 x4  6 Pt 2.59-2.73, 2 Cu 2.62
Pt 0.0000 0.5000 0.2553 x4  2 Ga 2.65, 6 Cu 2.73-2.81, 1 Pt 2.84
Pt 0.2500 0.2500 0.2509 x8  2 Ga 2.56, 6 Cu 2.57-2.60

Its density of states at the Fermi level is 9.7 states/eV per cell. The value obtained for the magnetization is 0.0 μB per formula unit. The value obtained for the calculated formation energy is -1.637 eV/f.u.

***

Record 3
## PuCo4Bi (PBE-GGA)

Data for a relaxed PuCo4Bi crystal.

Unit cell a=7.1818 b=7.1818 c=7.1818 alpha=90.00 beta=90.00 gamma=90.00
With the nearest neighbours (Å) after each atom.
Space group F-43m (No. 216)
Unique sites:
Pu 0.0000 0.0000 0.0000 x4  12 Co 2.98, 4 Bi 3.11
Co 0.1253 0.1253 0.6253 x16  6 Co 2.53-2.55
Bi 0.2500 0.2500 0.2500 x4  12 Co 2.98, 4 Pu 3.11

Its density of states at the Fermi level is 32.1 states/eV per cell. The value obtained for the magnetization is 1.0 μB per formula unit. The value obtained for the calculated formation energy is 0.185 eV/f.u.

***

Record 4
## Ge3BS (PBE-GGA)

Data for a relaxed Ge3BS crystal.

Unit cell a=4.8971 b=4.8971 c=4.8971 alpha=90.00 beta=90.00 gamma=90.00
With the nearest neighbours (Å) after each atom.
Space group Pm-3m (No. 221)
Unique sites:
Ge 0.0000 0.0000 0.5000 x3  2 S 2.45
B 0.5000 0.5000 0.5000 x1  12 Ge 3.46
S 0.0000 0.0000 0.0000 x1  6 Ge 2.45

Its density of states at the Fermi level is 2.3 states/eV per cell. Its raw formation energy is 1.429 eV per atom. The value obtained for the magnetization is 0.0 μB per formula unit. For the energy above the most stable polymorph in this dataset, the calculation gives 769 meV per atom.